Compound: ReTc2Ru
Source: Alexandria
Functional: PBE
Structure: relaxed

Geometry as POSCAR:
```
ReTc2Ru
1.0
5.492 0.000 0.000
0.000 7.760 0.000
0.000 0.000 2.730
Re Tc Ru
2 4 2
Direct
0.000 0.000 0.000
0.500 0.500 0.000
0.250 0.250 0.500
0.250 0.750 0.500
0.750 0.250 0.500
0.750 0.750 0.500
0.000 0.500 0.000
0.500 0.000 0.000
```

Results
As for the formation energy: 0.051 eV/atom. As for the final energy: -10.563 eV per atom.